InAg3I6O18 after structural relaxation, computed with PBE.

Uncorrected energy ... -241.9 eV for the cell shown

Cell lengths 7.9510, 10.2903, 10.9675 Å; angles 75.33, 89.97, 76.43 degrees
Last column: nearest neighbours and their distance in Å.
Space group P-1 (No. 2)
Asymmetric unit:
In 0.0000 0.0000 0.0000  6 O 2.11-2.18
In 0.5000 0.0000 0.5000  6 O 2.12-2.17
Ag 0.0000 0.0000 0.5000  4 O 2.40-2.62
Ag 0.0753 0.6105 0.5886  4 O 2.30-2.52
Ag 0.4036 0.3988 0.8923  4 O 2.40-2.61
Ag 0.5000 0.0000 0.0000  6 O 2.41-2.64
I 0.0446 0.6145 0.1001  3 O 1.85-1.89
I 0.1732 0.1999 0.6708  3 O 1.85-1.89
I 0.2462 0.8047 0.7816  3 O 1.83-1.87
I 0.2562 0.1973 0.1866  3 O 1.83-1.88
I 0.3238 0.8110 0.2612  3 O 1.85-1.91
I 0.4638 0.3843 0.4156  3 O 1.85-1.90
O 0.0452 0.8161 0.6901  1 I 1.85
O 0.0490 0.7877 0.3890  1 I 1.85
O 0.0499 0.1971 0.9283  1 I 1.85
O 0.0616 0.4198 0.7492  1 I 1.85
O 0.1420 0.3957 0.0002  1 I 1.89
O 0.1584 0.9571 0.8464  1 I 1.87
O 0.2077 0.3404 0.5379  1 I 1.85
O 0.2318 0.6647 0.9194  1 I 1.83
O 0.2352 0.9597 0.1156  1 I 1.91
O 0.2683 0.0510 0.5999  1 I 1.89
O 0.2707 0.3392 0.2556  1 I 1.83
O 0.3017 0.6693 0.1916  1 I 1.85
O 0.3392 0.0464 0.3270  1 I 1.88
O 0.3649 0.5844 0.6948  1 I 1.85
O 0.4162 0.6140 0.4350  1 I 1.90
O 0.4360 0.8057 0.5417  1 I 1.87
O 0.4520 0.1947 0.7855  1 I 1.85
O 0.4577 0.1863 0.1013  1 I 1.85

Al2PdI6Cl2 after structural relaxation, computed with PBE.

Uncorrected energy ... -67.5 eV for the cell shown

Cell lengths 13.8896, 9.4763, 7.5346 Å; angles 90.00, 96.15, 90.00 degrees
Last column: nearest neighbours and their distance in Å.
Space group C2/m (No. 12)
Asymmetric unit:
Al 0.2147 0.0000 0.3395  1 Cl 2.12
Pd 0.0000 0.0000 0.0000  4 I 2.65
I 0.1117 0.1975 0.1629  1 Al 2.63, 1 Pd 2.65
I 0.1121 0.5000 0.7216  1 Al 2.50
Cl 0.1930 0.0000 0.6142  1 Al 2.12

HoErTlTe3 after structural relaxation, computed with PBE.

E above lowest polymorph ... 4 meV per atom
Uncorrected energy ... -106.6 eV for the cell shown

Cell lengths 4.3873, 15.2800, 11.9411 Å; angles 90.00, 90.00, 90.00 degrees
Last column: nearest neighbours and their distance in Å.
Space group Cmcm (No. 63)
Asymmetric unit:
Ho 0.0000 0.0655 0.2500  4 Te 2.92-2.97
Er 0.0000 0.5000 0.0000  6 Te 3.10-3.15
Tl 0.0000 0.2513 0.7500  2 Ho 3.56, 8 Te 3.59-3.83
Te 0.0000 0.1419 0.0258  1 Ho 2.92, 2 Er 3.10
Te 0.0000 0.4344 0.2500  2 Ho 2.97, 2 Er 3.15